No. 1
Below is crystalline Pm2Y2Al4Cu at its relaxed geometry, with properties calculated at the GGA-PBE level.

Calculated values
DFT formation energy ... -0.238 eV per atom
Density of states at the Fermi level ... 0.832 states/eV/atom

abc: 7.0040 7.0040 8.7917
angles: 90.00 90.00 90.00
Space group I4/mmm (No. 139)
Unique sites:
Pm (0.0000, 0.5000, 0.2500)
Y (0.0000, 0.0000, 0.1931)
Al (0.2379, 0.2379, 0.5000)
Cu (0.0000, 0.0000, 0.5000)


No. 2
Below is crystalline Rb2SrThTe4 at its relaxed geometry, with properties calculated at the GGA-PBE level.

Calculated values
Formation energy without anion corrections ... -1362.3 meV/atom
Density of states at the Fermi level ... 0.000 states/eV/atom

abc: 8.2507 4.7396 8.9612
angles: 90.00 107.50 90.00
Space group P2/m (No. 10)
Unique sites:
Rb (0.0000, 0.0000, 0.0000)
Rb (0.5000, 0.5000, 0.0000)
Sr (0.0000, 0.5000, 0.5000)
Th (0.5000, 0.0000, 0.5000)
Te (0.2554, 0.0000, 0.7072)
Te (0.2812, 0.5000, 0.2961)